--- a ---
DFT (PBE) results for Ta3BiC after structural relaxation.

Cell lengths 4.401, 4.401, 4.401 Å; angles 90.00, 90.00, 90.00 degrees
Space group Pm-3m (No. 221)
Inequivalent atoms, fractional coordinates:
Ta: 0.000 0.000 0.500
Bi: 0.500 0.500 0.500
C: 0.000 0.000 0.000

## Properties
The volume is 85.3 Å³/cell.

---

--- b ---
DFT (PBE) results for Ta3BiC after structural relaxation.

Cell lengths 5.144, 5.144, 5.144 Å; angles 90.00, 90.00, 90.00 degrees
Space group Pm-3m (No. 221)
Inequivalent atoms, fractional coordinates:
Ta: 0.000 0.000 0.500
Bi: 0.000 0.000 0.000
C: 0.500 0.500 0.500

## Properties
The volume is 136.1 Å³/cell.

---

Stability, lowest: b

---

--- a ---
DFT (PBE) results for Tb4Bi2C after structural relaxation.

Cell lengths 4.884, 4.884, 16.086 Å; angles 90.00, 90.00, 90.00 degrees
Space group I4/mmm (No. 139)
Inequivalent atoms, fractional coordinates:
Tb: 0.000 0.000 0.153
Tb: 0.000 0.500 0.000
Bi: 0.000 0.000 0.356
C: 0.000 0.000 0.000

## Properties
The volume is 383.8 Å³/cell.

---

--- b ---
DFT (PBE) results for Tb4Bi2C after structural relaxation.

Cell lengths 6.983, 6.751, 8.974 Å; angles 90.00, 108.84, 90.00 degrees
Space group P2_1/m (No. 11)
Inequivalent atoms, fractional coordinates:
Tb: 0.002 0.000 0.274
Tb: 0.377 0.250 0.062
Tb: 0.418 0.250 0.642
Bi: 0.215 0.750 0.045
Bi: 0.292 0.750 0.578
C: 0.217 0.250 0.798

## Properties
The volume is 400.4 Å³/cell.

---

Stability, lowest: b